Record 1
LaFeAu2 | meta-GGA SCAN | PBEsol geometry

a = 4.280 Å, b = 4.280 Å, c = 5.228 Å
α = 114.16°, β = 114.16°, γ = 90.00°
Last column: magnetic moment on the atom in μB.
Fractional positions:
Au1 0.000 0.000 0.000  0.00
Au2 0.750 0.250 0.500  -0.02
La1 0.250 0.750 0.500  -0.13
Fe1 0.500 0.500 0.000  2.81

Properties
V (A^3/atom): 19.52
Magnetic moment (μB per cell): 2.5
Energy (eV per atom): -50.136

***

Record 2
LaFe2Au | meta-GGA SCAN | PBEsol geometry

a = 3.741 Å, b = 4.236 Å, c = 4.236 Å
α = 90.00°, β = 90.00°, γ = 90.00°
Last column: magnetic moment on the atom in μB.
Fractional positions:
Fe1 0.000 0.500 0.000  2.33
La1 0.500 0.500 0.500  -0.40
Au1 0.500 0.000 0.000  -0.08
Fe2 0.000 0.000 0.500  2.33

Properties
V (A^3/atom): 16.78
Magnetic moment (μB per cell): 3.8
Energy (eV per atom): -36.909

***

Record 3
La3FeAu | meta-GGA SCAN | PBEsol geometry

a = 5.675 Å, b = 5.675 Å, c = 5.675 Å
α = 90.00°, β = 90.00°, γ = 90.00°
Last column: magnetic moment on the atom in μB.
Fractional positions:
La1 0.000 0.000 0.500  -0.27
La2 0.000 0.500 0.000  -0.27
Au1 0.000 0.000 0.000  -0.06
Fe1 0.500 0.500 0.500  3.33
La3 0.500 0.000 0.000  -0.27

Properties
V (A^3/atom): 36.55
Magnetic moment (μB per cell): 0.8
Energy (eV per atom): -43.004

***

Record 4
LaFe2Au | meta-GGA SCAN | PBEsol geometry

a = 4.714 Å, b = 4.714 Å, c = 4.714 Å
α = 60.00°, β = 60.00°, γ = 60.00°
Last column: magnetic moment on the atom in μB.
Fractional positions:
La1 0.750 0.750 0.750  -0.09
Fe1 0.000 0.000 0.000  2.94
Au1 0.500 0.500 0.500  0.04
Fe2 0.250 0.250 0.250  3.28

Properties
V (A^3/atom): 18.52
Magnetic moment (μB per cell): 6.0
Energy (eV per atom): -36.996

***

Record 5
LaFeAu | meta-GGA SCAN | PBEsol geometry

a = 3.428 Å, b = 3.428 Å, c = 5.774 Å
α = 107.27°, β = 107.27°, γ = 90.00°
Last column: magnetic moment on the atom in μB.
Fractional positions:
Fe1 0.364 0.364 0.728  3.11
La1 0.669 0.669 0.338  -0.30
Au1 0.967 0.967 0.934  0.03

Properties
V (A^3/atom): 20.52
Magnetic moment (μB per cell): 2.5
Energy (eV per atom): -43.637

***

Record 6
NaLaFeAu2 | meta-GGA SCAN | PBEsol geometry

a = 4.667 Å, b = 4.905 Å, c = 4.905 Å
α = 90.00°, β = 90.00°, γ = 90.00°
Last column: magnetic moment on the atom in μB.
Fractional positions:
Au1 0.000 0.500 0.000  0.01
Fe1 0.500 0.000 0.000  3.08
Na1 0.000 0.000 0.000  0.00
La1 0.500 0.500 0.500  -0.17
Au2 0.000 0.000 0.500  0.01

Properties
V (A^3/atom): 22.46
Magnetic moment (μB per cell): 2.5
Energy (eV per atom): -40.439

***

Record 7
LiFeAu2 | meta-GGA SCAN | PBEsol geometry

a = 2.734 Å, b = 4.601 Å, c = 4.601 Å
α = 90.00°, β = 90.00°, γ = 90.00°
Last column: magnetic moment on the atom in μB.
Fractional positions:
Au1 0.000 0.000 0.000  0.04
Li1 0.500 0.500 0.000  -0.01
Au2 0.000 0.500 0.500  0.04
Fe1 0.500 0.000 0.500  3.18

Properties
V (A^3/atom): 14.47
Magnetic moment (μB per cell): 3.1
Energy (eV per atom): -40.047

***

Record 8
LiFeAu2 | meta-GGA SCAN | PBEsol geometry

a = 2.764 Å, b = 2.764 Å, c = 9.317 Å
α = 81.47°, β = 81.47°, γ = 60.00°
Last column: magnetic moment on the atom in μB.
Fractional positions:
Li1 0.249 0.249 0.253  -0.02
Au1 0.995 0.995 0.015  0.00
Fe1 0.501 0.501 0.497  3.19
Au2 0.755 0.755 0.735  0.04

Properties
V (A^3/atom): 15.19
Magnetic moment (μB per cell): 3.1
Energy (eV per atom): -39.726

***

Record 9
LiFeAu3 | meta-GGA SCAN | PBEsol geometry

a = 4.779 Å, b = 4.779 Å, c = 4.779 Å
α = 90.00°, β = 90.00°, γ = 90.00°
Last column: magnetic moment on the atom in μB.
Fractional positions:
Au1 0.000 0.000 0.500  0.10
Fe1 0.000 0.000 0.000  2.99
Au2 0.000 0.500 0.000  0.10
Au3 0.500 0.000 0.000  0.10
Li1 0.500 0.500 0.500  0.00

Properties
V (A^3/atom): 21.83
Magnetic moment (μB per cell): 3.2
Energy (eV per atom): -45.335

***

Record 10
LiFe2Au | meta-GGA SCAN | PBEsol geometry

a = 2.617 Å, b = 2.617 Å, c = 7.891 Å
α = 90.00°, β = 90.00°, γ = 89.95°
Last column: magnetic moment on the atom in μB.
Fractional positions:
Au1 0.500 0.500 0.000  0.08
Li1 0.500 0.500 0.500  -0.06
Fe1 0.000 0.000 0.743  3.02
Fe2 0.000 0.000 0.257  3.02

Properties
V (A^3/atom): 13.51
Magnetic moment (μB per cell): 5.8
Energy (eV per atom): -26.733

***

Record 11
Li3FeAu | meta-GGA SCAN | PBEsol geometry

a = 4.491 Å, b = 4.491 Å, c = 4.491 Å
α = 90.00°, β = 90.00°, γ = 90.00°
Last column: magnetic moment on the atom in μB.
Fractional positions:
Li1 0.500 0.000 0.000  -0.02
Au1 0.500 0.500 0.500  0.03
Li2 0.000 0.000 0.500  -0.02
Li3 0.000 0.500 0.000  -0.02
Fe1 0.000 0.000 0.000  2.66

Properties
V (A^3/atom): 18.12
Magnetic moment (μB per cell): 2.5
Energy (eV per atom): -18.279

***

Record 12
LiFe2Au | meta-GGA SCAN | PBEsol geometry

a = 3.017 Å, b = 3.887 Å, c = 4.940 Å
α = 113.17°, β = 107.78°, γ = 90.00°
Last column: magnetic moment on the atom in μB.
Fractional positions:
Fe1 0.753 0.753 0.506  2.93
Li1 0.500 0.000 0.000  -0.04
Au1 0.000 0.500 0.000  0.05
Fe2 0.247 0.247 0.494  2.93

Properties
V (A^3/atom): 12.56
Magnetic moment (μB per cell): 5.6
Energy (eV per atom): -27.019

***

Record 13
LiFe2Au | meta-GGA SCAN | PBEsol geometry

a = 4.148 Å, b = 4.148 Å, c = 4.148 Å
α = 60.00°, β = 60.00°, γ = 60.00°
Last column: magnetic moment on the atom in μB.
Fractional positions:
Li1 0.250 0.250 0.250  -0.04
Fe1 0.000 0.000 0.000  2.87
Au1 0.500 0.500 0.500  0.08
Fe2 0.750 0.750 0.750  2.84

Properties
V (A^3/atom): 12.62
Magnetic moment (μB per cell): 5.5
Energy (eV per atom): -27.010

***

Record 14
MgFeAu2 | meta-GGA SCAN | PBEsol geometry

a = 2.917 Å, b = 4.724 Å, c = 4.889 Å
α = 100.45°, β = 107.36°, γ = 90.00°
Last column: magnetic moment on the atom in μB.
Fractional positions:
Au1 0.000 0.973 0.999  0.01
Fe1 0.495 0.468 0.990  3.19
Au2 0.754 0.286 0.509  0.03
Mg1 0.251 0.774 0.502  -0.01

Properties
V (A^3/atom): 15.78
Magnetic moment (μB per cell): 3.1
Energy (eV per atom): -40.623

***

Record 15
MgFe2Au | meta-GGA SCAN | PBEsol geometry

a = 3.875 Å, b = 3.875 Å, c = 4.623 Å
α = 114.78°, β = 114.78°, γ = 90.00°
Last column: magnetic moment on the atom in μB.
Fractional positions:
Au1 0.250 0.750 0.500  0.01
Fe1 0.000 0.000 0.000  2.91
Fe2 0.750 0.250 0.500  2.73
Mg1 0.500 0.500 0.000  -0.04

Properties
V (A^3/atom): 13.97
Magnetic moment (μB per cell): 5.4
Energy (eV per atom): -27.694

***

Record 16
MgFeAu | meta-GGA SCAN | PBEsol geometry

a = 2.773 Å, b = 4.408 Å, c = 4.408 Å
α = 120.00°, β = 90.00°, γ = 90.00°
Last column: magnetic moment on the atom in μB.
Fractional positions:
Mg1 0.336 0.333 0.667  -0.02
Fe1 0.720 0.667 0.333  3.03
Au1 0.944 0.000 0.000  0.04

Properties
V (A^3/atom): 15.55
Magnetic moment (μB per cell): 3.0
Energy (eV per atom): -30.886

***

Record 17
MgFeAu4 | meta-GGA SCAN | PBEsol geometry

a = 5.360 Å, b = 5.360 Å, c = 5.360 Å
α = 60.00°, β = 60.00°, γ = 60.00°
Last column: magnetic moment on the atom in μB.
Fractional positions:
Mg1 0.000 0.000 0.000  0.00
Au1 0.375 0.875 0.375  0.01
Au2 0.875 0.375 0.375  0.01
Fe1 0.750 0.750 0.750  3.24
Au3 0.375 0.375 0.375  0.01
Au4 0.375 0.375 0.875  0.01

Properties
V (A^3/atom): 18.15
Magnetic moment (μB per cell): 3.3
Energy (eV per atom): -49.948

***

Record 18
Mg2FeAu | meta-GGA SCAN | PBEsol geometry

a = 3.788 Å, b = 4.094 Å, c = 4.094 Å
α = 90.00°, β = 90.00°, γ = 90.00°
Last column: magnetic moment on the atom in μB.
Fractional positions:
Mg1 0.000 0.500 0.000  -0.03
Mg2 0.000 0.000 0.500  -0.03
Fe1 0.500 0.000 0.000  2.79
Au1 0.500 0.500 0.500  -0.04

Properties
V (A^3/atom): 15.87
Magnetic moment (μB per cell): 2.5
Energy (eV per atom): -24.556

***

Record 19
Mg3FeAu | meta-GGA SCAN | PBEsol geometry

a = 4.755 Å, b = 4.755 Å, c = 4.755 Å
α = 90.00°, β = 90.00°, γ = 90.00°
Last column: magnetic moment on the atom in μB.
Fractional positions:
Au1 0.500 0.500 0.500  0.07
Mg1 0.000 0.000 0.500  0.00
Mg2 0.000 0.500 0.000  0.00
Mg3 0.500 0.000 0.000  0.00
Fe1 0.000 0.000 0.000  2.47

Properties
V (A^3/atom): 21.50
Magnetic moment (μB per cell): 2.5
Energy (eV per atom): -19.882

***

Record 20
MgFe2Au | meta-GGA SCAN | PBEsol geometry

a = 3.709 Å, b = 3.709 Å, c = 4.055 Å
α = 90.00°, β = 90.00°, γ = 90.00°
Last column: magnetic moment on the atom in μB.
Fractional positions:
Au1 0.000 0.000 0.500  -0.01
Fe1 0.000 0.500 0.000  2.92
Fe2 0.500 0.000 0.000  2.92
Mg1 0.500 0.500 0.500  -0.04

Properties
V (A^3/atom): 13.94
Magnetic moment (μB per cell): 5.6
Energy (eV per atom): -27.735

***

Record 21
MnFe2Au | meta-GGA SCAN | PBEsol geometry

a = 2.632 Å, b = 4.466 Å, c = 4.603 Å
α = 100.15°, β = 90.00°, γ = 107.13°
Last column: magnetic moment on the atom in μB.
Fractional positions:
Fe1 0.749 0.499 0.257  2.76
Mn1 0.492 0.985 0.472  -3.48
Fe2 0.007 0.014 0.018  2.83
Au1 0.251 0.502 0.753  0.03

Properties
V (A^3/atom): 12.70
Magnetic moment (μB per cell): 2.0
Energy (eV per atom): -30.867

***

Record 22
MnFeAu3 | meta-GGA SCAN | PBEsol geometry

a = 4.692 Å, b = 4.692 Å, c = 4.692 Å
α = 90.00°, β = 90.00°, γ = 90.00°
Last column: magnetic moment on the atom in μB.
Fractional positions:
Au1 0.000 0.000 0.500  0.10
Au2 0.500 0.000 0.000  0.10
Au3 0.000 0.500 0.000  0.10
Mn1 0.500 0.500 0.500  4.63
Fe1 0.000 0.000 0.000  2.92

Properties
V (A^3/atom): 20.66
Magnetic moment (μB per cell): 8.1
Energy (eV per atom): -48.251

***

Record 23
MnFe2Au | meta-GGA SCAN | PBEsol geometry

a = 3.723 Å, b = 3.723 Å, c = 4.613 Å
α = 113.80°, β = 113.80°, γ = 90.00°
Last column: magnetic moment on the atom in μB.
Fractional positions:
Mn1 0.500 0.500 0.000  3.63
Fe1 0.750 0.250 0.500  2.86
Au1 0.250 0.750 0.500  0.06
Fe2 0.000 0.000 0.000  2.96

Properties
V (A^3/atom): 13.12
Magnetic moment (μB per cell): 9.4
Energy (eV per atom): -30.987

***

Record 24
MnFeAu | meta-GGA SCAN | PBEsol geometry

a = 4.034 Å, b = 4.034 Å, c = 4.034 Å
α = 60.00°, β = 60.00°, γ = 60.00°
Last column: magnetic moment on the atom in μB.
Fractional positions:
Mn1 0.250 0.250 0.250  3.75
Fe1 0.500 0.500 0.500  -2.81
Au1 0.000 0.000 0.000  0.18

Properties
V (A^3/atom): 15.48
Magnetic moment (μB per cell): 1.3
Energy (eV per atom): -34.862

***

Record 25
FeMoAu2 | meta-GGA SCAN | PBEsol geometry

a = 2.977 Å, b = 4.556 Å, c = 5.237 Å
α = 115.79°, β = 106.52°, γ = 90.00°
Last column: magnetic moment on the atom in μB.
Fractional positions:
Au1 0.775 0.275 0.550  -0.03
Au2 0.994 0.994 0.987  -0.06
Mo1 0.213 0.713 0.427  -0.78
Fe1 0.518 0.518 0.036  2.49

Properties
V (A^3/atom): 15.17
E above lowest polymorph (meV/atom): 34
Magnetic moment (μB per cell): 1.6
Energy (eV per atom): -47.554

***

Record 26
FeMoAu2 | meta-GGA SCAN | PBEsol geometry

a = 4.435 Å, b = 4.435 Å, c = 4.435 Å
α = 60.00°, β = 60.00°, γ = 60.00°
Last column: magnetic moment on the atom in μB.
Fractional positions:
Au1 0.250 0.250 0.250  -0.05
Mo1 0.500 0.500 0.500  -1.34
Au2 0.750 0.750 0.750  -0.05
Fe1 0.000 0.000 0.000  3.29

Properties
V (A^3/atom): 15.42
E above lowest polymorph (meV/atom): 71
Magnetic moment (μB per cell): 1.7
Energy (eV per atom): -47.517

***

Record 27
FeMoAu2 | meta-GGA SCAN | PBEsol geometry

a = 2.721 Å, b = 4.834 Å, c = 4.851 Å
α = 98.94°, β = 90.00°, γ = 106.34°
Last column: magnetic moment on the atom in μB.
Fractional positions:
Fe1 0.000 0.000 0.500  3.02
Au1 0.252 0.504 0.253  -0.03
Mo1 0.500 0.000 0.000  -0.53
Au2 0.748 0.496 0.747  -0.03

Properties
V (A^3/atom): 15.10
E above lowest polymorph (meV/atom): 49
Magnetic moment (μB per cell): 2.4
Energy (eV per atom): -47.539

***

Record 28
FeMoAu | meta-GGA SCAN | PBEsol geometry

a = 4.080 Å, b = 4.080 Å, c = 4.080 Å
α = 60.00°, β = 60.00°, γ = 60.00°
Last column: magnetic moment on the atom in μB.
Fractional positions:
Mo1 0.000 0.000 0.000  -0.94
Fe1 0.250 0.250 0.250  2.44
Au1 0.500 0.500 0.500  0.08

Properties
V (A^3/atom): 16.01
E above lowest polymorph (meV/atom): 0
Magnetic moment (μB per cell): 1.5
Energy (eV per atom): -40.284

***

Record 29
FeMo2Au | meta-GGA SCAN | PBEsol geometry

a = 2.723 Å, b = 3.812 Å, c = 5.488 Å
α = 90.00°, β = 90.00°, γ = 90.00°
Fractional positions:
Mo1 0.000 0.000 0.279
Mo2 0.000 0.000 0.721
Fe1 0.500 0.500 0.500
Au1 0.500 0.500 0.000

Properties
V (A^3/atom): 14.25
Magnetic moment (μB per cell): 0.0
Energy (eV per atom): -39.029

***

Record 30
FeMoAu2 | meta-GGA SCAN | PBEsol geometry

a = 4.416 Å, b = 4.416 Å, c = 4.416 Å
α = 60.00°, β = 60.00°, γ = 60.00°
Last column: magnetic moment on the atom in μB.
Fractional positions:
Fe1 0.500 0.500 0.500  2.98
Au1 0.750 0.750 0.750  0.05
Mo1 0.250 0.250 0.250  -0.92
Au2 0.000 0.000 0.000  -0.06

Properties
V (A^3/atom): 15.23
E above lowest polymorph (meV/atom): 0
Magnetic moment (μB per cell): 2.0
Energy (eV per atom): -47.588